# 1
This record from Alexandria via LeMat-Bulk describes a relaxed structure of Be2TlZn. The functional is GGA-PBE.

Computed properties:
E above lowest polymorph	285	meV per atom

abc: 2.815 3.625 6.066
angles: 90.00 90.00 90.00
Element x y z (fractional)
Be1 0.000 0.000 0.929
Be2 0.000 0.000 0.571
Zn1 0.500 0.500 0.750
Tl1 0.500 0.500 0.250


# 2
This record from Alexandria via LeMat-Bulk describes a relaxed structure of Cr2CuAs2. The functional is GGA-PBE.

Computed properties:
E above lowest polymorph	0	meV per atom

abc: 6.849 6.849 3.034
angles: 90.00 90.00 90.00
Each line ends with the local moment (μB).
Element x y z (fractional)
Cr1 0.640 0.860 0.500  1.75
Cu1 0.500 0.500 0.000  -0.02
As1 0.845 0.655 0.000  -0.12
As2 0.345 0.845 0.000  -0.12
As3 0.655 0.155 0.000  -0.12
As4 0.155 0.345 0.000  -0.12
Cu2 0.000 0.000 0.000  -0.02
Cr2 0.140 0.640 0.500  1.73
Cr3 0.360 0.140 0.500  1.75
Cr4 0.860 0.360 0.500  1.73


# 3
This record from Alexandria via LeMat-Bulk describes a relaxed structure of ThZnCo2. The functional is GGA-PBE.

abc: 4.129 4.907 6.669
angles: 90.00 90.00 90.00
Each line ends with the local moment (μB).
Element x y z (fractional)
Th1 0.000 0.250 0.709  -0.10
Th2 0.000 0.750 0.291  -0.10
Co1 0.000 0.750 0.885  0.27
Co2 0.500 0.500 0.000  0.95
Co3 0.000 0.250 0.115  0.27
Zn1 0.500 0.750 0.661  -0.01
Co4 0.500 0.000 0.000  0.95
Zn2 0.500 0.250 0.339  -0.01


# 4
This record from Alexandria via LeMat-Bulk describes a relaxed structure of Sm2PuAs3. The functional is GGA-PBE.

Computed properties:
E above lowest polymorph	365	meV per atom

abc: 9.274 9.274 9.274
angles: 154.05 154.05 37.02
Each line ends with the local moment (μB).
Element x y z (fractional)
As1 0.162 0.162 0.000  0.00
Sm1 0.668 0.668 0.000  0.00
Pu1 0.000 0.000 0.000  -0.20
Sm2 0.332 0.332 0.000  0.00
As2 0.838 0.838 0.000  0.00
As3 0.500 0.500 0.000  0.00


# 5
This record from Alexandria via LeMat-Bulk describes a relaxed structure of Pm2TiTl3Se6. The functional is GGA-PBE.

Computed properties:
formation energy (no corrections)	-1.161	eV/atom

abc: 7.163 7.163 8.125
angles: 98.54 98.54 119.93
Each line ends with the local moment (μB).
Element x y z (fractional)
Ti1 0.000 0.000 0.000  0.85
Pm1 0.335 0.665 0.000  0.02
Se1 0.372 0.066 0.200  -0.01
Tl1 0.174 0.826 0.500  0.00
Se2 0.066 0.372 0.200  -0.01
Se3 0.628 0.934 0.800  -0.01
Tl2 0.826 0.174 0.500  0.00
Se4 0.934 0.628 0.800  -0.01
Tl3 0.500 0.500 0.500  0.00
Pm2 0.665 0.335 0.000  0.02
Se5 0.762 0.762 0.209  -0.01
Se6 0.238 0.238 0.791  -0.01


# 6
This record from Alexandria via LeMat-Bulk describes a relaxed structure of TiAu. The functional is GGA-PBE.

abc: 5.891 5.891 5.891
angles: 90.00 90.00 90.00
Each line ends with the local moment (μB).
Element x y z (fractional)
Au1 0.000 0.000 0.000  0.04
Ti1 0.750 0.750 0.250  0.82
Au2 0.000 0.500 0.500  0.04
Ti2 0.750 0.250 0.750  0.82
Ti3 0.250 0.250 0.250  0.82
Au3 0.500 0.000 0.500  0.04
Ti4 0.250 0.750 0.750  0.82
Au4 0.500 0.500 0.000  0.04


# 7
This record from Alexandria via LeMat-Bulk describes a relaxed structure of KScTa2. The functional is GGA-PBE.

Computed properties:
E above lowest polymorph	161	meV per atom

abc: 11.722 11.722 11.722
angles: 14.81 14.81 14.81
Element x y z (fractional)
Ta1 0.011 0.011 0.011
Sc1 0.750 0.750 0.750
K1 0.250 0.250 0.250
Ta2 0.489 0.489 0.489


# 8
This record from Alexandria via LeMat-Bulk describes a relaxed structure of Sr2HfTaGa. The functional is GGA-PBE.

abc: 6.003 5.096 6.003
angles: 90.00 90.00 90.00
Element x y z (fractional)
Hf1 0.000 0.500 0.000
Ga1 0.500 0.500 0.500
Sr1 0.500 0.000 0.000
Sr2 0.000 0.000 0.500
Ta1 0.000 0.000 0.000


# 9
This record from Alexandria via LeMat-Bulk describes a relaxed structure of Cs3NpTl2I9. The functional is GGA-PBE.

Computed properties:
formation energy (no corrections)	-1.050	eV/atom

abc: 9.273 9.273 11.239
angles: 90.00 90.00 120.00
Each line ends with the local moment (μB).
Element x y z (fractional)
I1 0.500 0.500 0.000  -0.01
I2 0.849 0.151 0.657  -0.04
I3 0.151 0.849 0.343  -0.04
Cs1 0.000 0.000 0.000  0.00
Tl1 0.333 0.667 0.170  -0.02
Cs2 0.333 0.667 0.740  0.00
I4 0.697 0.849 0.343  -0.04
I5 0.500 0.000 0.000  -0.01
Cs3 0.667 0.333 0.260  0.00
I6 0.000 0.500 0.000  -0.01
Np1 0.000 0.000 0.500  3.38
I7 0.849 0.697 0.657  -0.04
Tl2 0.667 0.333 0.830  -0.02
I8 0.303 0.151 0.657  -0.04
I9 0.151 0.303 0.343  -0.04


# 10
This record from Alexandria via LeMat-Bulk describes a relaxed structure of PrCdSnPt. The functional is GGA-PBE.

abc: 5.074 5.074 5.074
angles: 60.00 60.00 60.00
Element x y z (fractional)
Pt1 0.750 0.750 0.750
Cd1 0.250 0.250 0.250
Pr1 0.500 0.500 0.500
Sn1 0.000 0.000 0.000


# 11
This record from Alexandria via LeMat-Bulk describes a relaxed structure of Re2MoRuCl. The functional is GGA-PBE.

Computed properties:
formation energy (no corrections)	1.552	eV/atom

abc: 4.348 4.266 4.348
angles: 90.00 90.00 90.00
Element x y z (fractional)
Ru1 0.000 0.500 0.000
Re1 0.000 0.000 0.500
Cl1 0.000 0.000 0.000
Re2 0.500 0.000 0.000
Mo1 0.500 0.500 0.500


For each record above, in turn, the calculated magnetization values are 0.000; 6.554; 2.046; 0.161; 1.002; 4.224; 0.001; 0.000; 2.974; 0.000; 0.021 μB/cell.
For each record above, in turn, the calculated N(E_F) values are 0.63; 6.53; 10.38; 13.43; 6.41; 14.73; 5.58; 3.07; 2.96; 1.83; 6.10 states/eV/cell.
For each record above, in turn, the calculated total energy values are -0.081; -0.236; -0.219; -0.267; -0.182; -0.186; -0.260; -0.169; -0.122; -0.166; -0.287 Ha/atom.